[1]
ScAlCO: PBEsol geometry, meta-GGA SCAN.

## Properties
Distance to the lowest polymorph of the same formula = 0.000 eV per formula unit
E_form (uncorrected) = -1.950 eV per atom

a = 3.2364 Å, b = 3.2364 Å, c = 10.1573 Å
α = 90.00°, β = 90.00°, γ = 120.00°
Space group P6_3mc (No. 186)
Inequivalent atoms, fractional coordinates:
Sc1 0.3333 0.6667 0.0000 [2 per cell]
Al1 0.0000 0.0000 0.2837 [2 per cell]
C1 0.3333 0.6667 0.3630 [2 per cell]
O1 0.0000 0.0000 0.1062 [2 per cell]

[2]
NbBI2: PBEsol geometry, meta-GGA SCAN.

## Properties
E_form (uncorrected) = 1.309 eV per atom

a = 6.806 Å, b = 6.806 Å, c = 6.806 Å
α = 90.00°, β = 90.00°, γ = 90.00°
Space group Fm-3m (No. 225)
Inequivalent atoms, fractional coordinates:
Nb1 0.000 0.000 0.000 [4 per cell]
B1 0.000 0.000 0.500 [4 per cell]
I1 0.250 0.250 0.250 [8 per cell]

[3]
Te2PAu: PBEsol geometry, meta-GGA SCAN.

## Properties
E_form (uncorrected) = 0.139 eV per atom

a = 7.877 Å, b = 7.876 Å, c = 3.000 Å
α = 90.00°, β = 90.24°, γ = 90.00°
Space group C2/m (No. 12)
Inequivalent atoms, fractional coordinates:
Te1 0.250 0.250 0.000 [4 per cell]
P1 0.000 0.000 0.000 [2 per cell]
Au1 0.000 0.500 0.000 [2 per cell]

[4]
CoMo2Pt: PBEsol geometry, meta-GGA SCAN.

## Properties
Distance to the lowest polymorph of the same formula = 0.050 eV per formula unit
Formation energy = -0.612 eV/f.u.

a = 2.668 Å, b = 3.868 Å, c = 5.335 Å
α = 90.00°, β = 90.00°, γ = 90.00°
Space group Pmmm (No. 47)
Inequivalent atoms, fractional coordinates:
Co1 0.000 0.000 0.000 [1 per cell]
Mo1 0.500 0.500 0.233 [2 per cell]
Pt1 0.000 0.000 0.500 [1 per cell]

| no. | E (eV/atom) | total magnetic moment (μB/cell) |
| --- | --- | --- |
| 1 | -11.530 | 0.0 |
| 2 | -27.202 | 0.0 |
| 3 | -38.376 | 0.0 |
| 4 | -39.470 | 1.1 |